## CrFeN2F (GGA+U)

Data for an optimized crystal structure of CrFeN2F.

The structure in extended XYZ format:
```
5
Lattice="3.8764 0.0000 0.0000 0.0000 3.8764 0.0000 0.0000 0.0000 3.8197" Properties=species:S:1:pos:R:3 pbc="T T T"
Cr 0.0000 0.0000 0.0000
Fe 1.9382 1.9382 1.9098
N 0.0000 1.9382 0.0000
N 1.9382 0.0000 0.0000
F 0.0000 0.0000 1.9098
```

Energy (eV/cell): -31.011
DOS(E_F) (states/eV per atom): 0.417